1.
Pm4AlIr: relaxed, PBE.

Results
Formation enthalpy at 0 K, meV/atom: -267.7

a b c (Å): 7.1611 7.1611 8.7115
angles (deg): 114.27 114.27 90.00
Fractional positions:
Pm  0.1407  0.1250  0.7500
Pm  0.8750  0.8593  0.2500
Pm  0.1407  0.6250  0.7500
Pm  0.3750  0.3907  0.2500
Pm  0.6093  0.1250  0.7500
Pm  0.6093  0.6250  0.7500
Pm  0.3750  0.8593  0.2500
Pm  0.8750  0.3907  0.2500
Al  0.0000  0.0000  0.0000
Al  0.7500  0.2500  0.5000
Ir  0.2500  0.7500  0.5000
Ir  0.5000  0.5000  0.0000



2.
Pm12AlIr7: relaxed, PBE.

Results
Formation enthalpy at 0 K, meV/atom: -551.7

a b c (Å): 9.1429 9.1429 9.1429
angles (deg): 110.21 110.21 110.21
Fractional positions:
Pm  0.8918  0.3419  0.7490
Pm  0.6581  0.2510  0.1082
Pm  0.4009  0.1201  0.3211
Pm  0.8799  0.6789  0.5991
Pm  0.2510  0.1082  0.6581
Pm  0.6789  0.5991  0.8799
Pm  0.3211  0.4009  0.1201
Pm  0.7490  0.8918  0.3419
Pm  0.1201  0.3211  0.4009
Pm  0.5991  0.8799  0.6789
Pm  0.3419  0.7490  0.8918
Pm  0.1082  0.6581  0.2510
Al  0.0000  0.0000  0.0000
Ir  0.0539  0.7295  0.9606
Ir  0.2705  0.0394  0.9461
Ir  0.0394  0.9461  0.2705
Ir  0.5000  0.5000  0.5000
Ir  0.9606  0.0539  0.7295
Ir  0.7295  0.9606  0.0539
Ir  0.9461  0.2705  0.0394



3.
PmAl2Ir: relaxed, PBE.

Results
Formation enthalpy at 0 K, meV/atom: -555.1

a b c (Å): 3.1184 3.1184 7.6328
angles (deg): 90.00 90.00 90.00
Fractional positions:
Ir  0.5000  0.5000  0.0000
Al  0.0000  0.0000  0.8097
Al  0.0000  0.0000  0.1903
Pm  0.5000  0.5000  0.5000



4.
PmAl2Ir2: relaxed, PBE.

Results
Formation enthalpy at 0 K, meV/atom: -850.5

a b c (Å): 4.0467 4.0467 6.3816
angles (deg): 108.49 108.49 90.00
Fractional positions:
Pm  0.0000  0.0000  0.0000
Al  0.7500  0.2500  0.5000
Al  0.2500  0.7500  0.5000
Ir  0.6172  0.6172  0.2343
Ir  0.3828  0.3828  0.7657



| no. | uncorrected energy (Ry per atom) |
| --- | --- |
| 1 | -0.407 |
| 2 | -0.492 |
| 3 | -0.428 |
| 4 | -0.503 |